Run a
A relaxed IrBr4 crystal. Source: the Open Quantum Materials Database, functional GGA-PBE.

Structure (POSCAR):
```
IrBr4
1.0
3.663 0.000 0.000
0.000 5.896 0.000
0.000 0.000 12.963
Ir Br
2 8
Cartesian
0.000 1.460 0.000
0.000 4.436 6.482
0.000 0.004 4.501
0.000 2.925 1.982
0.000 2.971 8.463
0.000 5.892 10.983
1.832 0.094 1.023
1.832 2.826 11.942
1.832 3.070 5.460
1.832 5.802 7.504
```


Run b
A relaxed IrBr4 crystal. Source: the Open Quantum Materials Database, functional GGA-PBE.

Structure (POSCAR):
```
IrBr4
1.0
6.985 0.000 0.000
0.000 6.167 0.000
-2.438 0.000 5.943
Ir Br
2 8
Cartesian
0.000 0.000 0.000
-1.219 3.084 2.972
0.096 1.055 2.284
-1.123 2.029 5.255
0.898 4.155 3.590
2.117 5.096 0.619
2.430 1.072 5.325
3.649 2.012 2.353
5.670 4.138 0.688
4.451 5.113 3.660
```


Run c
A relaxed IrBr4 crystal. Source: the Open Quantum Materials Database, functional GGA-PBE.

Structure (POSCAR):
```
IrBr4
1.0
8.262 0.000 0.000
0.000 8.864 0.000
0.000 0.000 3.671
Ir Br
2 8
Cartesian
0.000 0.000 0.000
4.131 4.432 0.000
0.000 1.697 1.835
0.000 7.167 1.835
1.678 4.432 0.000
2.453 0.000 0.000
4.131 2.735 1.835
4.131 6.129 1.835
5.809 0.000 0.000
6.584 4.432 0.000
```


Run d
A relaxed IrBr4 crystal. Source: the Open Quantum Materials Database, functional GGA-PBE.

Structure (POSCAR):
```
IrBr4
1.0
0.000 5.938 3.797
5.665 0.000 3.797
5.665 5.938 0.000
Ir Br
2 8
Cartesian
0.000 0.000 0.000
2.832 2.969 1.898
6.958 6.923 2.010
7.102 4.081 4.076
4.372 4.953 2.010
4.125 1.984 3.908
7.205 9.892 3.908
7.060 7.050 5.974
9.935 10.764 5.974
4.228 7.795 4.076
```


Verdict on stability: run d comes out at the bottom.


Run a
A relaxed IrSe3Br9 crystal. Source: the Open Quantum Materials Database, functional GGA-PBE.

Structure (POSCAR):
```
IrSe3Br9
1.0
12.083 0.000 0.000
0.000 9.610 0.000
-11.821 0.000 13.995
Ir Se Br
4 12 36
Cartesian
-2.848 2.361 6.906
-8.759 2.444 13.904
9.020 7.166 0.091
3.110 7.249 7.089
-3.326 0.057 6.410
-9.236 4.748 13.408
1.529 2.320 1.768
-4.382 2.485 8.765
-4.740 6.676 12.737
1.171 7.739 5.739
-0.909 1.871 8.256
5.001 2.934 1.258
4.643 7.125 5.230
-1.267 7.290 12.228
9.498 4.862 0.587
3.587 9.553 7.585
-7.219 7.056 8.905
-1.309 7.359 1.907
-0.552 1.386 1.054
-6.462 3.419 8.051
-8.356 5.478 11.304
-2.445 8.936 4.307
-5.167 0.256 9.154
0.744 4.549 2.156
-2.951 4.852 7.415
2.960 9.563 0.418
-6.892 2.167 12.205
-0.982 2.638 5.207
-0.017 5.718 5.384
-5.927 8.697 12.382
4.072 6.069 0.769
-1.838 8.346 7.767
-3.987 6.197 10.495
1.924 8.218 3.498
-1.662 1.392 10.497
4.249 3.413 3.500
2.100 1.264 6.228
-3.810 3.541 13.226
6.189 0.913 1.614
0.278 3.892 8.611
1.243 6.972 8.788
7.154 7.443 1.790
-2.698 0.047 13.577
3.212 4.758 6.580
-0.482 5.060 11.839
5.428 9.354 4.842
2.707 0.674 9.689
8.618 4.131 2.691
6.724 6.191 5.944
0.814 8.224 12.942
1.570 2.251 12.088
7.481 2.554 5.090
```


Run b
A relaxed IrSe3Br9 crystal. Source: the Open Quantum Materials Database, functional GGA-PBE.

Structure (POSCAR):
```
IrSe3Br9
1.0
8.609 0.000 0.000
0.000 12.898 0.000
-7.606 0.000 14.438
Ir Se Br
4 12 36
Cartesian
0.759 3.087 1.892
-3.044 3.362 9.111
4.047 9.536 5.327
0.243 9.811 12.546
-0.450 2.294 3.881
-4.254 4.155 11.100
1.256 0.917 1.037
-2.547 5.532 8.256
-1.813 2.249 7.332
1.990 4.200 0.113
-0.988 8.698 14.325
2.815 10.649 7.106
3.550 7.367 6.182
-0.254 11.981 13.401
5.256 8.743 3.338
1.453 10.604 10.557
-1.012 8.620 3.758
-4.815 10.727 10.977
-2.713 9.478 7.099
-6.516 9.869 14.318
-4.157 1.344 10.178
-0.354 5.105 2.960
-5.596 1.208 13.201
-1.793 5.241 5.982
1.863 6.525 0.495
-1.940 12.822 7.714
-3.720 6.478 11.335
0.083 12.870 4.116
-3.312 9.129 13.975
0.491 10.219 6.756
2.291 9.594 3.535
-1.512 9.753 10.754
3.209 12.892 1.993
-0.595 6.455 9.212
-2.206 0.006 12.445
1.597 6.443 5.226
2.514 3.145 3.684
-1.289 3.304 10.903
0.511 2.679 7.682
4.315 3.770 0.463
0.919 0.029 10.322
4.723 6.420 3.103
2.943 0.076 6.724
-0.861 6.373 13.943
2.795 7.657 8.456
6.598 11.690 1.237
1.356 7.793 11.478
5.159 11.554 4.259
7.518 3.029 0.120
3.715 3.420 7.339
5.818 2.171 3.461
2.014 4.278 10.680
```


Verdict on stability: run b comes out at the bottom.


Run a
A relaxed K2LiTcBr6 crystal. Source: the Open Quantum Materials Database, functional GGA-PBE.

Structure (POSCAR):
```
K2LiTcBr6
1.0
-3.722 3.722 5.260
3.722 -3.722 5.260
3.722 3.722 -5.260
K Li Tc Br
2 1 1 6
Cartesian
3.722 0.000 2.630
0.000 3.722 2.630
0.000 0.000 0.000
0.000 0.000 5.260
0.000 0.000 2.703
1.916 1.916 0.000
1.807 -1.807 5.260
-1.807 1.807 5.260
0.000 0.000 7.817
1.807 1.807 5.260
```


Run b
A relaxed K2LiTcBr6 crystal. Source: the Open Quantum Materials Database, functional GGA-PBE.

Structure (POSCAR):
```
K2LiTcBr6
1.0
-3.638 3.638 5.451
3.638 -3.638 5.451
3.638 3.638 -5.451
K Li Tc Br
2 1 1 6
Cartesian
3.638 0.000 2.726
0.000 3.638 2.726
0.000 0.000 0.000
0.000 0.000 5.451
4.999 1.462 0.000
0.000 0.000 2.877
1.462 2.276 0.000
2.175 1.361 5.451
0.000 0.000 8.025
-1.361 2.175 5.451
```


Verdict on stability: run a comes out at the bottom.


Run a
A relaxed K2NaTcBr6 crystal. Source: the Open Quantum Materials Database, functional GGA-PBE.

Structure (POSCAR):
```
K2NaTcBr6
1.0
-3.720 3.720 5.557
3.720 -3.720 5.557
3.720 3.720 -5.557
K Na Tc Br
2 1 1 6
Cartesian
3.720 0.000 2.778
0.000 3.720 2.778
0.000 0.000 0.000
0.000 0.000 5.557
4.959 1.481 0.000
0.000 0.000 2.976
1.481 2.481 0.000
2.239 1.239 5.557
0.000 0.000 8.138
-1.239 2.239 5.557
```


Run b
A relaxed K2NaTcBr6 crystal. Source: the Open Quantum Materials Database, functional GGA-PBE.

Structure (POSCAR):
```
K2NaTcBr6
1.0
0.000 5.398 5.398
5.398 0.000 5.398
5.398 5.398 0.000
K Na Tc Br
2 1 1 6
Cartesian
2.699 2.699 2.699
8.097 8.097 8.097
0.000 0.000 0.000
5.398 5.398 5.398
5.398 5.398 2.846
5.398 2.846 5.398
7.951 5.398 5.398
2.846 5.398 5.398
5.398 7.951 5.398
5.398 5.398 7.951
```


Verdict on stability: run b comes out at the bottom.


Run a
A relaxed K3PdBr6 crystal. Source: the Open Quantum Materials Database, functional GGA-PBE.

Structure (POSCAR):
```
K3PdBr6
1.0
0.000 5.637 5.637
5.637 0.000 5.637
5.637 5.637 0.000
K Pd Br
3 1 6
Cartesian
0.000 0.000 0.000
2.818 2.818 2.818
8.455 8.455 8.455
5.637 5.637 5.637
5.637 5.637 3.073
5.637 3.073 5.637
8.200 5.637 5.637
3.073 5.637 5.637
5.637 8.200 5.637
5.637 5.637 8.200
```


Run b
A relaxed K3PdBr6 crystal. Source: the Open Quantum Materials Database, functional GGA-PBE.

Structure (POSCAR):
```
K3PdBr6
1.0
4.072 2.351 6.218
-4.072 2.351 6.218
0.000 -4.701 6.218
K Pd Br
3 1 6
Cartesian
0.000 0.000 0.000
0.000 0.000 5.203
0.000 0.000 13.452
0.000 0.000 9.328
-0.816 -1.975 7.850
-2.119 -0.281 10.805
-1.303 1.694 7.850
1.303 -1.694 10.805
2.119 0.281 7.850
0.816 1.975 10.805
```


Verdict on stability: run a comes out at the bottom.


Run a
A relaxed LaSmBrN crystal. Source: the Open Quantum Materials Database, functional GGA-PBE.

Structure (POSCAR):
```
LaSmBrN
1.0
3.720 0.000 0.000
-1.860 3.222 0.000
0.000 0.000 14.678
La Sm Br N
2 2 2 2
Cartesian
0.000 0.000 2.382
0.000 0.000 12.296
1.860 1.074 5.033
1.860 1.074 9.644
0.000 0.000 7.339
1.860 1.074 0.000
0.000 2.148 3.863
0.000 2.148 10.815
```


Run b
A relaxed LaSmBrN crystal. Source: the Open Quantum Materials Database, functional GGA-PBE.

Structure (POSCAR):
```
LaSmBrN
1.0
3.716 0.000 0.000
-1.858 3.218 0.000
0.000 0.000 14.734
La Sm Br N
2 2 2 2
Cartesian
0.000 2.146 5.984
1.858 1.073 8.750
0.000 2.146 1.277
1.858 1.073 13.457
0.000 2.146 11.221
1.858 1.073 3.513
0.000 0.000 0.000
0.000 0.000 7.367
```


Verdict on stability: run b comes out at the bottom.


Run a
A relaxed MoBr2 crystal. Source: the Open Quantum Materials Database, functional GGA-PBE.

Structure (POSCAR):
```
MoBr2
1.0
7.435 -5.924 0.000
7.435 5.924 0.000
0.000 0.000 11.867
Mo Br
12 24
Cartesian
7.435 5.141 10.167
1.877 0.000 0.000
7.435 4.226 0.781
7.435 1.698 6.714
5.559 0.000 5.933
7.435 0.783 4.234
7.435 -0.783 7.633
9.312 0.000 5.933
7.435 -1.698 5.152
7.435 -4.226 11.086
12.994 0.000 0.000
7.435 -5.141 1.699
1.847 0.914 9.405
5.586 3.462 10.952
7.435 4.196 7.666
5.586 2.462 5.019
1.847 -0.914 2.462
2.988 0.000 5.933
4.447 0.000 0.000
5.588 0.914 8.395
9.285 3.462 10.952
7.435 1.728 1.732
9.285 2.462 5.019
5.588 -0.914 3.472
9.283 0.914 8.395
5.586 -2.462 6.848
7.435 -1.728 10.135
5.586 -3.462 0.915
9.283 -0.914 3.472
10.424 0.000 0.000
11.883 0.000 5.933
13.024 0.914 9.405
9.285 -2.462 6.848
7.435 -4.196 4.201
9.285 -3.462 0.915
13.024 -0.914 2.462
```


Run b
A relaxed MoBr2 crystal. Source: the Open Quantum Materials Database, functional GGA-PBE.

Structure (POSCAR):
```
MoBr2
1.0
6.265 0.000 0.000
0.000 6.265 0.000
0.000 0.000 3.755
Mo Br
2 4
Cartesian
0.000 0.000 0.000
3.133 3.133 1.878
1.287 1.287 1.878
1.846 4.420 0.000
4.420 1.846 0.000
4.978 4.978 1.878
```


Run c
A relaxed MoBr2 crystal. Source: the Open Quantum Materials Database, functional GGA-PBE.

Structure (POSCAR):
```
MoBr2
1.0
0.000 4.379 4.379
4.379 0.000 4.379
4.379 4.379 0.000
Mo Br
2 4
Cartesian
1.095 1.095 1.095
7.663 7.663 7.663
4.379 2.190 2.190
2.190 4.379 2.190
2.190 2.190 4.379
4.379 4.379 4.379
```


Verdict on stability: run c comes out at the bottom.